[1]
Here is an optimized crystal structure of PrCoSi2 from Alexandria via LeMat-Bulk. Energies are from GGA-PBE.

a = 6.878 Å, b = 4.047 Å, c = 10.115 Å
α = 90.00°, β = 90.00°, γ = 90.00°
Fractional coordinates of all 16 atoms:
Pr  0.155  0.250  0.124
Pr  0.345  0.750  0.624
Pr  0.655  0.250  0.376
Pr  0.845  0.750  0.876
Co  0.003  0.750  0.379
Co  0.497  0.250  0.879
Co  0.503  0.750  0.121
Co  0.997  0.250  0.621
Si  0.163  0.250  0.425
Si  0.167  0.250  0.819
Si  0.333  0.750  0.319
Si  0.337  0.750  0.925
Si  0.663  0.250  0.075
Si  0.667  0.250  0.681
Si  0.833  0.750  0.181
Si  0.837  0.750  0.575

Symmetry ... No. 62
Electronic total energy ... -0.235 Ha/atom

[2]
Here is an optimized crystal structure of PrCoSi2 from Alexandria via LeMat-Bulk. Energies are from GGA-PBE.

a = 3.926 Å, b = 3.926 Å, c = 15.845 Å
α = 90.00°, β = 90.00°, γ = 120.00°
Fractional coordinates of all 12 atoms:
Pr  0.000  0.000  0.000
Pr  0.333  0.667  0.667
Pr  0.667  0.333  0.333
Co  0.000  0.000  0.500
Co  0.333  0.667  0.167
Co  0.667  0.333  0.833
Si  0.000  0.000  0.204
Si  0.000  0.000  0.796
Si  0.333  0.667  0.462
Si  0.333  0.667  0.871
Si  0.667  0.333  0.129
Si  0.667  0.333  0.538

Symmetry ... No. 166
Electronic total energy ... -0.236 Ha/atom

[3]
Here is an optimized crystal structure of PrCo2Si from Alexandria via LeMat-Bulk. Energies are from GGA-PBE.

a = 3.965 Å, b = 3.965 Å, c = 15.056 Å
α = 90.00°, β = 90.00°, γ = 120.00°
Fractional coordinates of all 12 atoms:
Pr  0.000  0.000  0.000
Pr  0.333  0.667  0.667
Pr  0.667  0.333  0.333
Co  0.000  0.000  0.196
Co  0.000  0.000  0.804
Co  0.333  0.667  0.470
Co  0.333  0.667  0.863
Co  0.667  0.333  0.137
Co  0.667  0.333  0.530
Si  0.000  0.000  0.500
Si  0.333  0.667  0.167
Si  0.667  0.333  0.833

Symmetry ... No. 166
Electronic total energy ... -0.241 Ha/atom

[4]
Here is an optimized crystal structure of PrCo4Si12 from Alexandria via LeMat-Bulk. Energies are from GGA-PBE.

a = 7.005 Å, b = 7.005 Å, c = 7.005 Å
α = 109.47°, β = 109.47°, γ = 109.47°
Fractional coordinates of all 17 atoms:
Pr  0.000  0.000  0.000
Co  0.000  0.000  0.500
Co  0.000  0.500  0.000
Co  0.500  0.000  0.000
Co  0.500  0.500  0.500
Si  0.172  0.351  0.821
Si  0.179  0.530  0.351
Si  0.179  0.828  0.649
Si  0.351  0.179  0.530
Si  0.351  0.821  0.172
Si  0.470  0.649  0.821
Si  0.530  0.351  0.179
Si  0.649  0.179  0.828
Si  0.649  0.821  0.470
Si  0.821  0.172  0.351
Si  0.821  0.470  0.649
Si  0.828  0.649  0.179

Symmetry ... No. 204
Electronic total energy ... -0.219 Ha/atom

[5]
Here is an optimized crystal structure of PrCo12Si6 from Alexandria via LeMat-Bulk. Energies are from GGA-PBE.

a = 6.528 Å, b = 6.528 Å, c = 6.528 Å
α = 105.23°, β = 105.23°, γ = 105.23°
Fractional coordinates of all 19 atoms:
Pr  0.000  0.000  0.000
Co  0.131  0.500  0.869
Co  0.131  0.869  0.500
Co  0.180  0.444  0.444
Co  0.444  0.180  0.444
Co  0.444  0.444  0.180
Co  0.500  0.131  0.869
Co  0.500  0.869  0.131
Co  0.556  0.556  0.820
Co  0.556  0.820  0.556
Co  0.820  0.556  0.556
Co  0.869  0.131  0.500
Co  0.869  0.500  0.131
Si  0.240  0.240  0.686
Si  0.240  0.686  0.240
Si  0.314  0.760  0.760
Si  0.686  0.240  0.240
Si  0.760  0.314  0.760
Si  0.760  0.760  0.314

Symmetry ... No. 166
Electronic total energy ... -0.251 Ha/atom

[6]
Here is an optimized crystal structure of Pr2Co5Si4 from Alexandria via LeMat-Bulk. Energies are from GGA-PBE.

a = 8.130 Å, b = 7.144 Å, c = 5.445 Å
α = 79.19°, β = 59.67°, γ = 41.13°
Fractional coordinates of all 11 atoms:
Pr  0.134  0.134  0.866
Pr  0.866  0.866  0.134
Co  0.000  0.000  0.500
Co  0.250  0.250  0.250
Co  0.500  0.500  0.000
Co  0.500  0.500  0.500
Co  0.750  0.750  0.750
Si  0.212  0.529  0.471
Si  0.471  0.788  0.212
Si  0.529  0.212  0.788
Si  0.788  0.471  0.529

Symmetry ... No. 69
Electronic total energy ... -0.246 Ha/atom

[7]
Here is an optimized crystal structure of PrSmCoSi from Alexandria via LeMat-Bulk. Energies are from GGA-PBE.

a = 4.041 Å, b = 4.041 Å, c = 22.017 Å
α = 90.00°, β = 90.00°, γ = 120.00°
Fractional coordinates of all 12 atoms:
Pr  0.000  0.000  0.000
Pr  0.333  0.667  0.667
Pr  0.667  0.333  0.333
Sm  0.000  0.000  0.830
Sm  0.333  0.667  0.496
Sm  0.667  0.333  0.163
Co  0.000  0.000  0.579
Co  0.333  0.667  0.246
Co  0.667  0.333  0.913
Si  0.000  0.000  0.245
Si  0.333  0.667  0.912
Si  0.667  0.333  0.579

Symmetry ... No. 160
Electronic total energy ... -0.219 Ha/atom

[8]
Here is an optimized crystal structure of PrCoSi2Tc from Alexandria via LeMat-Bulk. Energies are from GGA-PBE.

a = 4.149 Å, b = 4.149 Å, c = 9.920 Å
α = 90.00°, β = 90.00°, γ = 90.00°
Fractional coordinates of all 10 atoms:
Pr  0.000  0.000  0.000
Pr  0.500  0.500  0.500
Co  0.000  0.500  0.750
Co  0.500  0.000  0.250
Si  0.000  0.000  0.364
Si  0.000  0.000  0.636
Si  0.500  0.500  0.136
Si  0.500  0.500  0.864
Tc  0.000  0.500  0.250
Tc  0.500  0.000  0.750

Symmetry ... No. 119
Electronic total energy ... -0.268 Ha/atom

[9]
Here is an optimized crystal structure of PrSm6Co3 from Alexandria via LeMat-Bulk. Energies are from GGA-PBE.

a = 8.479 Å, b = 8.479 Å, c = 7.167 Å
α = 90.00°, β = 90.00°, γ = 90.15°
Fractional coordinates of all 20 atoms:
Pr  0.205  0.795  0.500
Pr  0.795  0.205  0.000
Sm  0.050  0.511  0.223
Sm  0.198  0.802  0.945
Sm  0.205  0.205  0.475
Sm  0.205  0.205  0.975
Sm  0.489  0.950  0.223
Sm  0.492  0.508  0.999
Sm  0.508  0.492  0.499
Sm  0.511  0.050  0.723
Sm  0.795  0.795  0.475
Sm  0.795  0.795  0.975
Sm  0.802  0.198  0.445
Sm  0.950  0.489  0.723
Co  0.007  0.993  0.222
Co  0.250  0.490  0.738
Co  0.490  0.250  0.238
Co  0.510  0.750  0.738
Co  0.750  0.510  0.238
Co  0.993  0.007  0.722

Calculated formation energy ... 0.03 eV per atom
Symmetry ... No. 36

[10]
Here is an optimized crystal structure of Pr4SmCo2 from Alexandria via LeMat-Bulk. Energies are from GGA-PBE.

a = 7.685 Å, b = 6.761 Å, c = 7.995 Å
α = 90.00°, β = 111.72°, γ = 90.00°
Fractional coordinates of all 14 atoms:
Pr  0.124  0.250  0.482
Pr  0.188  0.750  0.264
Pr  0.251  0.502  0.915
Pr  0.251  0.998  0.915
Pr  0.749  0.002  0.085
Pr  0.749  0.498  0.085
Pr  0.812  0.250  0.736
Pr  0.876  0.750  0.518
Sm  0.475  0.250  0.336
Sm  0.525  0.750  0.664
Co  0.104  0.250  0.135
Co  0.482  0.250  0.752
Co  0.518  0.750  0.248
Co  0.896  0.750  0.865

Calculated formation energy ... 0.07 eV per atom
Symmetry ... No. 11

[11]
Here is an optimized crystal structure of Pr2SmCo9 from Alexandria via LeMat-Bulk. Energies are from GGA-PBE.

a = 8.821 Å, b = 8.821 Å, c = 8.821 Å
α = 33.22°, β = 33.22°, γ = 33.22°
Fractional coordinates of all 12 atoms:
Pr  0.140  0.140  0.140
Pr  0.860  0.860  0.860
Sm  0.000  0.000  0.000
Co  0.082  0.577  0.577
Co  0.333  0.333  0.333
Co  0.423  0.423  0.918
Co  0.423  0.918  0.423
Co  0.500  0.500  0.500
Co  0.577  0.082  0.577
Co  0.577  0.577  0.082
Co  0.667  0.667  0.667
Co  0.918  0.423  0.423

Calculated formation energy ... -0.04 eV per atom
Symmetry ... No. 166

[12]
Here is an optimized crystal structure of Pr3Sm4Co4 from Alexandria via LeMat-Bulk. Energies are from GGA-PBE.

a = 9.283 Å, b = 9.283 Å, c = 9.283 Å
α = 156.46°, β = 122.04°, γ = 63.43°
Fractional coordinates of all 11 atoms:
Pr  0.000  0.000  0.000
Pr  0.398  0.898  0.500
Pr  0.602  0.102  0.500
Sm  0.020  0.334  0.686
Sm  0.352  0.666  0.686
Sm  0.648  0.334  0.314
Sm  0.980  0.666  0.314
Co  0.247  0.247  0.000
Co  0.275  0.500  0.775
Co  0.725  0.500  0.225
Co  0.753  0.753  0.000

Calculated formation energy ... 0.04 eV per atom
Symmetry ... No. 71

V
In order: 17.60, 17.62, 17.08, 15.57, 12.74, 15.35, 25.94, 17.07, 25.77, 27.57, 15.28, 24.46
Unit: Å³ per atom
N(E_F)
In order: 9.28, 6.44, 13.49, 9.47, 18.01, 8.04, 14.57, 6.30, 18.94, 18.00, 18.24, 11.94
Unit: states/eV/cell